1.
VASP calculation (PBE) on a relaxed Li4GdAg crystal.

Electronic total energy (eV/atom): -4.09
ΔE_f (eV/atom): 0.009
Space group: F-43m

Cell lengths 5.462, 5.462, 5.462 Å; angles 60.00, 60.00, 60.00 degrees
Positions (direct):
Li 0.377 0.377 0.377
Li 0.377 0.377 0.869
Li 0.377 0.869 0.377
Li 0.869 0.377 0.377
Gd 0.000 0.000 0.000
Ag 0.750 0.750 0.750



2.
VASP calculation (PBE) on a relaxed LiGdAg2 crystal.

Electronic total energy (eV/atom): -5.64
ΔE_f (eV/atom): -0.213
Energy relative to the lowest polymorph listed for this composition (meV per atom): 10
Space group: R-3m

Cell lengths 5.375, 5.375, 5.375 Å; angles 51.06, 51.06, 51.06 degrees
Positions (direct):
Li 0.000 0.000 0.000
Gd 0.500 0.500 0.500
Ag 0.281 0.281 0.281
Ag 0.719 0.719 0.719



3.
VASP calculation (PBE) on a relaxed LiGdAg2 crystal.

Electronic total energy (eV/atom): -5.65
ΔE_f (eV/atom): -0.223
Energy relative to the lowest polymorph listed for this composition (meV per atom): 0
Space group: P4/mmm

Cell lengths 3.429, 3.429, 6.997 Å; angles 90.00, 90.00, 90.00 degrees
Positions (direct):
Li 0.000 0.000 0.000
Gd 0.000 0.000 0.500
Ag 0.500 0.500 0.207
Ag 0.500 0.500 0.793



> ΔE_f of number 1 (Li4GdAg)?

0.009 eV/atom



> ΔE_f of number 1 (Li4GdAg)?

0.009 eV/atom



> What is the formula in the third record?

LiGdAg2



> Which formula does entry 3 have?

LiGdAg2